(1)
# IrC PBEsol optimized geometry
# space group: No. 225
# ΔE to the lowest computed polymorph: 1.087 eV per formula unit
# calculated density: 16.36 Mg/m³
# VASP energy: -8.327 eV/atom
# energy of formation: 1406 meV per atom
data_IrC
_chemical_formula_sum 'Ir1 C1'
_space_group_name_H-M_alt 'P 1'
_space_group_IT_number 1
_space_group_name_Hall 'P 1'
_cell_length_a 3.0837
_cell_length_b 3.0837
_cell_length_c 3.0837
_cell_angle_alpha 60.00
_cell_angle_beta 60.00
_cell_angle_gamma 60.00
loop_
_atom_site_label
_atom_site_type_symbol
_atom_site_fract_x
_atom_site_fract_y
_atom_site_fract_z
_atom_site_occupancy
C1 C 0.0000 0.0000 0.0000 1
Ir1 Ir 0.5000 0.5000 0.5000 1


(2)
# CdInHg2 PBEsol optimized geometry
# space group: No. 6
# calculated density: 11.12 Mg/m³
# VASP energy: -1.329 eV/atom
# energy of formation: -1 meV per atom
data_CdInHg2
_chemical_formula_sum 'Cd1 In1 Hg2'
_space_group_name_H-M_alt 'P 1'
_space_group_IT_number 1
_space_group_name_Hall 'P 1'
_cell_length_a 3.3710
_cell_length_b 4.9441
_cell_length_c 5.8920
_cell_angle_alpha 90.00
_cell_angle_beta 107.09
_cell_angle_gamma 90.00
loop_
_atom_site_label
_atom_site_type_symbol
_atom_site_fract_x
_atom_site_fract_y
_atom_site_fract_z
_atom_site_occupancy
In1 In 0.5196 0.0000 0.3840 1
Hg1 Hg 0.7493 0.0000 0.9021 1
Hg2 Hg 0.9979 0.5000 0.3443 1
Cd1 Cd 0.2332 0.5000 0.8694 1


(3)
# SrAs2P PBEsol optimized geometry
# space group: No. 10
# calculated density: 4.62 Mg/m³
# VASP energy: -4.843 eV/atom
# energy of formation: -382 meV per atom
data_SrAs2P
_chemical_formula_sum 'Sr1 As2 P1'
_space_group_name_H-M_alt 'P 1'
_space_group_IT_number 1
_space_group_name_Hall 'P 1'
_cell_length_a 4.0095
_cell_length_b 4.7473
_cell_length_c 5.2540
_cell_angle_alpha 105.24
_cell_angle_beta 90.00
_cell_angle_gamma 90.00
loop_
_atom_site_label
_atom_site_type_symbol
_atom_site_fract_x
_atom_site_fract_y
_atom_site_fract_z
_atom_site_occupancy
As1 As 0.0000 0.1181 0.2372 1
As2 As 0.0000 0.8819 0.7628 1
P1 P 0.5000 0.0000 0.5000 1
Sr1 Sr 0.5000 0.5000 0.0000 1


(4)
# KIn2Bi2 PBEsol optimized geometry
# space group: No. 139
# calculated density: 6.86 Mg/m³
# VASP energy: -3.299 eV/atom
# energy of formation: -165 meV per atom
data_KIn2Bi2
_chemical_formula_sum 'K1 In2 Bi2'
_space_group_name_H-M_alt 'P 1'
_space_group_IT_number 1
_space_group_name_Hall 'P 1'
_cell_length_a 5.4665
_cell_length_b 5.4665
_cell_length_c 6.7716
_cell_angle_alpha 113.81
_cell_angle_beta 113.81
_cell_angle_gamma 90.00
loop_
_atom_site_label
_atom_site_type_symbol
_atom_site_fract_x
_atom_site_fract_y
_atom_site_fract_z
_atom_site_occupancy
K1 K 0.0000 0.0000 0.0000 1
Bi1 Bi 0.2500 0.7500 0.5000 1
Bi2 Bi 0.7500 0.2500 0.5000 1
In1 In 0.3739 0.3739 0.7479 1
In2 In 0.6261 0.6261 0.2521 1


(5)
# Zr2ScPIr PBEsol optimized geometry
# space group: No. 123
# calculated density: 7.34 Mg/m³
# VASP energy: -8.374 eV/atom
# energy of formation: -294 meV per atom
data_Zr2ScPIr
_chemical_formula_sum 'Zr2 Sc1 P1 Ir1'
_space_group_name_H-M_alt 'P 1'
_space_group_IT_number 1
_space_group_name_Hall 'P 1'
_cell_length_a 4.4109
_cell_length_b 4.8065
_cell_length_c 4.8065
_cell_angle_alpha 90.00
_cell_angle_beta 90.00
_cell_angle_gamma 90.00
loop_
_atom_site_label
_atom_site_type_symbol
_atom_site_fract_x
_atom_site_fract_y
_atom_site_fract_z
_atom_site_occupancy
Sc1 Sc 0.5000 0.5000 0.5000 1
P1 P 0.0000 0.0000 0.0000 1
Ir1 Ir 0.5000 0.0000 0.0000 1
Zr1 Zr 0.0000 0.0000 0.5000 1
Zr2 Zr 0.0000 0.5000 0.0000 1


(6)
# SrCa2Al PBEsol optimized geometry
# space group: No. 123
# calculated density: 2.46 Mg/m³
# VASP energy: -2.548 eV/atom
# energy of formation: 2 meV per atom
data_SrCa2Al
_chemical_formula_sum 'Sr1 Ca2 Al1'
_space_group_name_H-M_alt 'P 1'
_space_group_IT_number 1
_space_group_name_Hall 'P 1'
_cell_length_a 5.0027
_cell_length_b 5.0027
_cell_length_c 5.2634
_cell_angle_alpha 90.00
_cell_angle_beta 90.00
_cell_angle_gamma 90.00
loop_
_atom_site_label
_atom_site_type_symbol
_atom_site_fract_x
_atom_site_fract_y
_atom_site_fract_z
_atom_site_occupancy
Sr1 Sr 0.5000 0.5000 0.5000 1
Ca1 Ca 0.0000 0.5000 0.0000 1
Ca2 Ca 0.5000 0.0000 0.0000 1
Al1 Al 0.0000 0.0000 0.5000 1


(7)
# YCdMo3 PBEsol optimized geometry
# space group: No. 221
# calculated density: 7.04 Mg/m³
# VASP energy: -6.558 eV/atom
# energy of formation: 2107 meV per atom
data_YCdMo3
_chemical_formula_sum 'Y1 Cd1 Mo3'
_space_group_name_H-M_alt 'P 1'
_space_group_IT_number 1
_space_group_name_Hall 'P 1'
_cell_length_a 4.8682
_cell_length_b 4.8682
_cell_length_c 4.8682
_cell_angle_alpha 90.00
_cell_angle_beta 90.00
_cell_angle_gamma 90.00
loop_
_atom_site_label
_atom_site_type_symbol
_atom_site_fract_x
_atom_site_fract_y
_atom_site_fract_z
_atom_site_occupancy
Y1 Y 0.5000 0.5000 0.5000 1
Mo1 Mo 0.0000 0.5000 0.0000 1
Mo2 Mo 0.0000 0.0000 0.5000 1
Mo3 Mo 0.5000 0.0000 0.0000 1
Cd1 Cd 0.0000 0.0000 0.0000 1


(8)
# Ba3Sr5Tl5Cu3O19 PBEsol optimized geometry
# space group: No. 6
# ΔE_f (raw): -1.66 eV per atom
# calculated density: 7.57 Mg/m³
# VASP energy: -5.705 eV/atom
data_Ba3Sr5Tl5Cu3O19
_chemical_formula_sum 'Ba3 Sr5 Tl5 Cu3 O19'
_space_group_name_H-M_alt 'P 1'
_space_group_IT_number 1
_space_group_name_Hall 'P 1'
_cell_length_a 3.7119
_cell_length_b 9.2441
_cell_length_c 15.8104
_cell_angle_alpha 106.99
_cell_angle_beta 90.00
_cell_angle_gamma 90.00
loop_
_atom_site_label
_atom_site_type_symbol
_atom_site_fract_x
_atom_site_fract_y
_atom_site_fract_z
_atom_site_occupancy
Ba1 Ba 0.5000 0.2713 0.1284 1
Ba2 Ba 0.5000 0.7254 0.8732 1
Ba3 Ba 0.5000 0.1469 0.8742 1
Sr1 Sr 0.5000 0.8598 0.1277 1
Sr2 Sr 0.5000 0.3942 0.3705 1
Sr3 Sr 0.5000 0.6042 0.6274 1
Sr4 Sr 0.5000 0.0222 0.6278 1
Sr5 Sr 0.5000 0.9757 0.3712 1
Tl1 Tl 0.0000 0.6232 0.2347 1
Tl2 Tl 0.0000 0.3821 0.7653 1
Tl3 Tl 0.0000 0.7361 0.4736 1
Tl4 Tl 0.0000 0.2617 0.5248 1
Tl5 Tl 0.0000 0.5093 0.0075 1
Cu1 Cu 0.0000 0.1159 0.2529 1
Cu2 Cu 0.0000 0.8721 0.7469 1
Cu3 Cu 0.0000 0.9904 0.0006 1
O1 O 0.0000 0.2882 0.0028 1
O2 O 0.0000 0.7291 0.0088 1
O3 O 0.0000 0.4165 0.2614 1
O4 O 0.0000 0.5879 0.7363 1
O5 O 0.0000 0.1476 0.7368 1
O6 O 0.0000 0.8556 0.2561 1
O7 O 0.5000 0.1259 0.2580 1
O8 O 0.5000 0.8690 0.7397 1
O9 O 0.5000 0.5783 0.1327 1
O10 O 0.5000 0.4325 0.8637 1
O11 O 0.0000 0.0504 0.1278 1
O12 O 0.0000 0.9352 0.8735 1
O13 O 0.0000 0.4992 0.4980 1
O14 O 0.0000 0.9980 0.4981 1
O15 O 0.0000 0.1896 0.3796 1
O16 O 0.0000 0.8093 0.6191 1
O17 O 0.5000 0.6983 0.3931 1
O18 O 0.5000 0.3014 0.6034 1
O19 O 0.5000 0.9975 0.0044 1


(9)
# Cd3CoRu PBEsol optimized geometry
# space group: No. 221
# calculated density: 6.58 Mg/m³
# VASP energy: -2.891 eV/atom
# energy of formation: 1409 meV per atom
data_Cd3CoRu
_chemical_formula_sum 'Cd3 Co1 Ru1'
_space_group_name_H-M_alt 'P 1'
_space_group_IT_number 1
_space_group_name_Hall 'P 1'
_cell_length_a 5.0075
_cell_length_b 5.0075
_cell_length_c 5.0075
_cell_angle_alpha 90.00
_cell_angle_beta 90.00
_cell_angle_gamma 90.00
loop_
_atom_site_label
_atom_site_type_symbol
_atom_site_fract_x
_atom_site_fract_y
_atom_site_fract_z
_atom_site_occupancy
Ru1 Ru 0.0000 0.0000 0.0000 1
Co1 Co 0.5000 0.5000 0.5000 1
Cd1 Cd 0.0000 0.5000 0.0000 1
Cd2 Cd 0.0000 0.0000 0.5000 1
Cd3 Cd 0.5000 0.0000 0.0000 1


(10)
# Tl3Cd PBEsol optimized geometry
# space group: No. 139
# calculated density: 11.40 Mg/m³
# VASP energy: -2.216 eV/atom
# energy of formation: 56 meV per atom
data_Tl3Cd
_chemical_formula_sum 'Tl3 Cd1'
_space_group_name_H-M_alt 'P 1'
_space_group_IT_number 1
_space_group_name_Hall 'P 1'
_cell_length_a 4.6510
_cell_length_b 4.6510
_cell_length_c 5.8878
_cell_angle_alpha 113.26
_cell_angle_beta 113.26
_cell_angle_gamma 90.00
loop_
_atom_site_label
_atom_site_type_symbol
_atom_site_fract_x
_atom_site_fract_y
_atom_site_fract_z
_atom_site_occupancy
Tl1 Tl 0.7500 0.2500 0.5000 1
Tl2 Tl 0.5000 0.5000 0.0000 1
Tl3 Tl 0.2500 0.7500 0.5000 1
Cd1 Cd 0.0000 0.0000 0.0000 1